Record 1
Hg5Rh3 | GGA-PBE | relaxed

For the total magnetic moment, the calculation gives 0.00 μB per formula unit. As for the space-group type: P6_3/mcm (193).

Cell and atoms, written as extended XYZ:
```
16
Lattice="-0.6367 7.2375 -3.5805 -4.2137 1.2528 3.2817 4.1393 6.3304 2.8982" Properties=species:S:1:pos:R:3 pbc="T T T"
Hg -3.0461 5.7754 3.0543
Hg -2.7423 9.7900 -0.3808
Hg 0.2283 9.6717 1.1860
Hg 1.3946 12.2682 -0.6003
Hg -3.6347 6.3331 -0.2070
Hg 2.3351 9.0453 -0.4548
Hg 2.9236 8.4875 2.8063
Rh -0.0894 9.9987 -1.6393
Hg -0.4733 7.3195 -1.1095
Rh -1.4439 4.7518 -1.3754
Rh -1.2584 12.0594 0.6582
Rh -1.9500 7.8263 1.3862
Hg -0.2378 7.5011 3.7088
Rh 1.2389 6.9944 1.2132
Hg -0.9393 5.1490 1.4134
Rh -3.4064 3.7385 1.0767
```

=====

Record 2
HgRh5 | GGA-PBE | relaxed

For the total magnetic moment, the calculation gives 3.67 μB per formula unit. As for the space-group type: F-43m (216).

Cell and atoms, written as extended XYZ:
```
6
Lattice="0.0000 3.6464 3.6464 3.6464 0.0000 3.6464 3.6464 3.6464 0.0000" Properties=species:S:1:pos:R:3 pbc="T T T"
Rh 4.5562 4.5562 2.7365
Rh 4.5562 2.7365 4.5562
Rh 2.7365 4.5562 4.5562
Rh 2.7365 2.7365 2.7365
Hg 0.0000 0.0000 0.0000
Rh 5.4695 5.4695 5.4695
```

=====

Record 3
Hg2Rh | GGA-PBE | relaxed

For the total magnetic moment, the calculation gives 0.00 μB per formula unit. As for the space-group type: Cm (8).

Cell and atoms, written as extended XYZ:
```
6
Lattice="0.9830 -3.4765 4.1725 1.8090 -4.9921 1.5059 6.8278 2.3229 0.7948" Properties=species:S:1:pos:R:3 pbc="T T T"
Hg 3.3628 -2.0767 2.2221
Hg 3.5650 -4.5352 3.6821
Rh 0.6832 -1.9425 1.3157
Hg 9.1021 -5.8883 6.1665
Rh 6.6268 -7.1564 6.1205
Hg 6.7081 -4.2824 4.5121
```

=====

Record 4
Hg3Rh5 | GGA-PBE | relaxed

For the total magnetic moment, the calculation gives 0.00 μB per formula unit. As for the space-group type: Cmmm (65).

Cell and atoms, written as extended XYZ:
```
8
Lattice="-1.8748 -0.9314 -5.2998 -4.3129 -2.6857 2.5799 -2.1133 3.5180 0.1293" Properties=species:S:1:pos:R:3 pbc="T T T"
Rh 0.0000 0.0000 0.0000
Hg -3.0938 -1.8085 -1.3599
Rh -2.5278 0.8991 -0.5820
Hg -4.7670 -0.4931 0.6972
Rh -2.1564 -1.3428 1.2900
Rh -5.7732 -0.9981 -2.0085
Hg -3.5340 0.3941 -3.2877
Rh -0.9374 -0.4657 -2.6499
```

=====

Record 5
Hg3Rh | GGA-PBE | relaxed

For the total magnetic moment, the calculation gives 0.00 μB per formula unit. As for the space-group type: P2/m (10).

Cell and atoms, written as extended XYZ:
```
4
Lattice="-2.0666 2.6388 2.3617 -2.6327 -0.2958 -1.9732 -2.0866 -4.5216 3.2263" Properties=species:S:1:pos:R:3 pbc="T T T"
Hg -3.1665 -1.4908 -1.1052
Hg -2.3497 1.1715 0.1942
Hg -1.5528 -3.3267 2.3583
Rh -3.3929 -1.0893 1.8074
```

=====

Record 6
Hg2Rh | GGA-PBE | relaxed

For the total magnetic moment, the calculation gives 0.13 μB per formula unit. As for the space-group type: Fd-3m (227).

Cell and atoms, written as extended XYZ:
```
6
Lattice="0.0000 3.9302 3.9302 3.9302 0.0000 3.9302 3.9302 3.9302 0.0000" Properties=species:S:1:pos:R:3 pbc="T T T"
Hg 0.9825 2.9476 2.9476
Hg 2.9476 0.9825 2.9476
Rh 5.8952 5.8952 5.8952
Hg 2.9476 2.9476 0.9825
Hg 0.9825 0.9825 0.9825
Rh 3.9302 3.9302 3.9302
```

=====

Record 7
Hg3Rh | GGA-PBE | relaxed

For the total magnetic moment, the calculation gives 0.00 μB per formula unit. As for the space-group type: Pm-3m (221).

Cell and atoms, written as extended XYZ:
```
4
Lattice="4.2759 0.0000 0.0000 0.0000 4.2759 0.0000 0.0000 0.0000 4.2730" Properties=species:S:1:pos:R:3 pbc="T T T"
Hg 2.1380 0.0000 0.0000
Hg 0.0000 2.1380 0.0000
Hg 2.1380 2.1380 2.1365
Rh 0.0000 0.0000 2.1365
```

=====

Record 8
HgRh5 | GGA-PBE | relaxed

For the total magnetic moment, the calculation gives 0.00 μB per formula unit. As for the space-group type: Amm2 (38).

Cell and atoms, written as extended XYZ:
```
6
Lattice="1.4051 -7.2658 0.0000 1.4051 7.2658 0.0000 0.0000 0.0000 4.4894" Properties=species:S:1:pos:R:3 pbc="T T T"
Hg 1.4051 -7.2523 0.0000
Rh 1.4051 -2.5235 0.0000
Rh 1.4051 4.0514 2.2447
Rh 1.4051 2.4958 0.0000
Rh 1.4051 -0.9072 2.2447
Rh 1.4051 -5.5518 2.2447
```

=====

Record 9
HgRh5 | GGA-PBE | relaxed

For the total magnetic moment, the calculation gives 0.00 μB per formula unit. As for the space-group type: Cm (8).

Cell and atoms, written as extended XYZ:
```
6
Lattice="0.3055 -4.8237 -2.2110 1.2160 -3.0636 -4.1695 6.2428 -1.9908 1.1133" Properties=species:S:1:pos:R:3 pbc="T T T"
Rh 6.2853 -4.0078 -0.6796
Rh 5.1319 -6.6198 -3.5630
Hg 1.5239 -7.8537 -6.3493
Rh 2.7274 -5.4504 -3.6300
Rh 2.6602 -3.2911 -1.7208
Rh 5.1915 -8.6522 -5.3617
```

=====

Record 10
Hg3Rh | GGA-PBE | relaxed

For the total magnetic moment, the calculation gives 0.00 μB per formula unit. As for the space-group type: I4/mmm (139).

Cell and atoms, written as extended XYZ:
```
4
Lattice="-3.7187 3.9920 -0.3660 -5.0899 -1.4126 1.4129 4.9588 -0.5193 2.2447" Properties=species:S:1:pos:R:3 pbc="T T T"
Rh 0.0000 0.0000 0.0000
Hg -4.4043 1.2897 0.5234
Hg -1.5821 2.3812 1.2010
Hg -2.2677 -0.3211 2.0905
```

=====

Record 11
Hg2Rh3 | GGA-PBE | relaxed

For the total magnetic moment, the calculation gives 0.00 μB per formula unit. As for the space-group type: Fdd2 (43).

Cell and atoms, written as extended XYZ:
```
10
Lattice="0.0000 4.8278 6.9126 2.5387 0.0000 6.9126 2.5387 4.8278 0.0000" Properties=species:S:1:pos:R:3 pbc="T T T"
Rh 2.0329 5.1708 8.2519
Rh 3.3022 6.8988 11.7082
Rh 0.9849 2.4139 3.4563
Rh 2.0329 4.4849 5.5732
Rh 4.7929 4.8278 6.9126
Hg 3.1867 2.6766 7.6134
Rh 3.3022 7.5848 9.0295
Hg 3.1867 6.9791 6.2117
Hg 1.9174 5.0906 2.7554
Hg 1.9174 4.5651 11.0697
```

=====

Record 12
Hg5Rh4 | GGA-PBE | relaxed

For the total magnetic moment, the calculation gives 0.33 μB per formula unit. As for the space-group type: P6_3/mcm (193).

Cell and atoms, written as extended XYZ:
```
18
Lattice="-2.7584 5.1441 5.7314 -2.1560 -2.8502 7.3585 5.2772 0.7733 1.8458" Properties=species:S:1:pos:R:3 pbc="T T T"
Rh 2.1975 3.8631 5.0422
Rh -1.2212 2.4453 6.7815
Rh 0.3214 2.0544 2.5349
Rh -0.0567 -1.6257 5.1578
Hg 3.1322 2.1199 3.1000
Hg 0.6739 -0.6599 2.6642
Hg -0.6133 3.7976 4.4771
Hg 2.4473 -1.4170 6.5400
Hg 1.0005 1.1513 5.2862
Hg -0.6377 1.9160 9.6495
Hg -1.6381 0.7647 4.3633
Rh 1.5840 0.6220 8.1542
Hg 1.3799 3.3310 7.6028
Hg -3.2763 1.5293 8.7266
Rh 0.0000 0.0000 0.0000
Hg -1.0170 -0.2637 7.3329
Rh 3.1779 -0.4512 4.0465
Rh 2.6386 0.3866 0.9229
```

=====

Record 13
Hg4Rh | GGA-PBE | relaxed

For the total magnetic moment, the calculation gives 0.00 μB per formula unit. As for the space-group type: Pm-3m (221).

Cell and atoms, written as extended XYZ:
```
5
Lattice="-3.7254 1.5113 3.4477 -3.6683 -0.3685 -3.8022 -0.8451 -5.0625 1.3060" Properties=species:S:1:pos:R:3 pbc="T T T"
Hg -2.2567 -2.7155 -1.2481
Hg -3.6968 0.5714 -0.1772
Hg 0.0000 0.0000 0.0000
Rh -4.1194 -1.9599 0.4758
Hg -2.2852 -1.7756 2.3769
```

=====

Record 14
Hg2Rh | GGA-PBE | relaxed

For the total magnetic moment, the calculation gives 0.00 μB per formula unit. As for the space-group type: C2/m (12).

Cell and atoms, written as extended XYZ:
```
6
Lattice="-5.0215 -0.7262 1.3079 -3.3982 -1.1539 3.8176 -5.2947 7.8238 4.7579" Properties=species:S:1:pos:R:3 pbc="T T T"
Rh -8.2468 1.8603 5.6512
Hg -2.0279 2.6061 1.7558
Rh -5.4675 4.0833 4.2323
Hg -9.6766 5.5159 7.1989
Hg -4.0378 0.4277 2.6846
Hg -11.6864 3.3376 8.1277
```

=====

Record 15
Hg3Rh2 | GGA-PBE | relaxed

For the total magnetic moment, the calculation gives 0.32 μB per formula unit. As for the space-group type: R-3m (166).

Cell and atoms, written as extended XYZ:
```
5
Lattice="11.5543 -1.5323 -0.0023 11.5543 1.5323 -0.0023 11.3516 0.0000 2.6440" Properties=species:S:1:pos:R:3 pbc="T T T"
Hg 7.0908 0.0000 0.5431
Rh 13.6769 0.0000 1.0475
Hg 27.3695 0.0000 2.0962
Rh 20.7833 0.0000 1.5918
Hg 0.0000 0.0000 0.0000
```

=====

Record 16
Hg5Rh3 | GGA-PBE | relaxed

For the total magnetic moment, the calculation gives 0.00 μB per formula unit. As for the space-group type: C2/c (15).

Cell and atoms, written as extended XYZ:
```
16
Lattice="-3.6798 2.8022 3.8265 -4.0486 -3.1536 -5.7548 -2.3558 -4.8841 5.4819" Properties=species:S:1:pos:R:3 pbc="T T T"
Rh -9.1504 -5.9189 2.5999
Hg -3.0474 -3.3654 3.8275
Hg -8.3206 -3.9139 4.3746
Hg -4.3085 -2.1577 -2.1446
Rh -4.3636 -0.8897 0.3104
Rh -5.7226 -4.3502 3.2480
Hg -5.6790 -1.5629 2.7480
Hg -4.4074 -3.6769 0.8103
Rh -5.3986 -0.2328 5.2537
Hg -2.7623 -0.6476 2.6196
Rh -4.6880 -5.0068 -1.6956
Rh -0.9356 0.6799 0.9583
Hg -5.7777 -3.0822 5.7028
Hg -7.0392 -1.8741 -0.2693
Hg -7.3240 -4.5917 0.9384
Hg -1.7654 -1.3254 -0.8161
```

=====

Record 17
Hg3Rh | GGA-PBE | relaxed

For the total magnetic moment, the calculation gives 0.00 μB per formula unit. As for the space-group type: Immm (71).

Cell and atoms, written as extended XYZ:
```
4
Lattice="-1.5171 2.3106 6.4435 1.5171 -2.3106 6.4435 1.5171 2.3106 -6.4435" Properties=species:S:1:pos:R:3 pbc="T T T"
Rh 0.0000 2.3106 0.0000
Hg 0.0000 0.0000 8.8188
Hg 0.0000 0.0000 4.0683
Hg 1.5171 0.0000 0.0000
```

=====

Record 18
Hg4Rh5 | GGA-PBE | relaxed

For the total magnetic moment, the calculation gives 1.99 μB per formula unit. As for the space-group type: P6_3/mcm (193).

Cell and atoms, written as extended XYZ:
```
18
Lattice="8.0960 0.0000 0.0000 4.0480 7.0113 0.0000 0.0000 0.0000 5.5199" Properties=species:S:1:pos:R:3 pbc="T T T"
Hg 0.0000 0.0000 0.0000
Rh 5.3194 4.8092 1.3800
Hg 2.6010 4.5050 1.3800
Rh 5.5532 0.0000 1.3800
Rh 1.2714 2.2021 1.3800
Rh 4.0480 2.3371 0.0000
Rh 6.8246 2.2021 4.1399
Rh 8.0960 4.6742 2.7600
Rh 2.5428 0.0000 4.1399
Hg 5.2020 0.0000 4.1399
Rh 8.0960 4.6742 0.0000
Hg 2.8940 0.0000 1.3800
Rh 2.7766 4.8092 4.1399
Hg 1.4470 2.5063 4.1399
Rh 4.0480 2.3371 2.7600
Hg 5.4950 4.5050 4.1399
Hg 0.0000 0.0000 2.7600
Hg 6.6490 2.5063 1.3800
```

=====

Record 19
Hg3Rh | GGA-PBE | relaxed

For the total magnetic moment, the calculation gives 0.00 μB per formula unit. As for the space-group type: Pnma (62).

Cell and atoms, written as extended XYZ:
```
16
Lattice="-3.8523 -6.3493 0.7164 7.1893 -4.4312 -0.6140 0.6179 0.2433 5.4790" Properties=species:S:1:pos:R:3 pbc="T T T"
Hg 4.0318 -9.3237 3.4991
Hg 3.2144 -4.3166 4.6288
Hg -2.1431 -4.4433 1.1989
Hg 1.6500 -9.5701 0.8069
Hg 0.1961 -4.2137 3.5127
Hg 6.0980 -6.0939 4.3826
Rh -1.2884 -6.5223 2.7915
Rh 0.4228 -3.4322 0.5280
Hg -0.0769 -1.2135 2.0824
Hg 3.7589 -6.3235 2.0688
Hg 1.1483 -7.5464 3.7453
Rh 3.5321 -7.1050 5.0535
Hg 2.3049 -0.9671 4.7746
Hg 0.7405 -6.2206 0.9527
Hg 2.8067 -2.9908 1.8362
Rh 5.2434 -4.0149 2.7900
```

=====

Record 20
Hg3Rh | GGA-PBE | relaxed

For the total magnetic moment, the calculation gives 0.00 μB per formula unit. As for the space-group type: Pmm2 (25).

Cell and atoms, written as extended XYZ:
```
4
Lattice="-3.2141 -0.2394 -1.1729 1.0737 -4.0323 -2.1194 -1.3116 -2.5073 4.1059" Properties=species:S:1:pos:R:3 pbc="T T T"
Hg -1.3049 -2.4945 4.0849
Rh 0.0798 -2.8899 0.3712
Hg -2.2257 -1.3023 1.3502
Hg -2.1871 -4.2711 1.8505
```

=====

Record 21
Hg3Rh | GGA-PBE | relaxed

For the total magnetic moment, the calculation gives 0.00 μB per formula unit. As for the space-group type: P4/mmm (123).

Cell and atoms, written as extended XYZ:
```
4
Lattice="3.1588 0.0000 0.0000 0.0000 3.1588 0.0000 0.0000 0.0000 8.4320" Properties=species:S:1:pos:R:3 pbc="T T T"
Hg 0.0000 0.0000 1.7472
Rh 1.5794 1.5794 0.0000
Hg 0.0000 0.0000 6.6848
Hg 1.5794 1.5794 4.2160
```

=====

Record 22
Hg7Rh | GGA-PBE | relaxed

For the total magnetic moment, the calculation gives 0.00 μB per formula unit. As for the space-group type: Fm-3m (225).

Cell and atoms, written as extended XYZ:
```
8
Lattice="0.0000 4.4481 4.4481 4.4481 0.0000 4.4481 4.4481 4.4481 0.0000" Properties=species:S:1:pos:R:3 pbc="T T T"
Hg 0.0000 2.2240 2.2240
Hg 2.2240 4.4481 2.2240
Hg 4.4481 2.2240 2.2240
Hg 2.2240 2.2240 4.4481
Hg 4.4481 4.4481 4.4481
Hg 2.2240 0.0000 2.2240
Hg 2.2240 2.2240 0.0000
Rh 0.0000 0.0000 0.0000
```

=====

Record 23
Hg5Rh4 | GGA-PBE | relaxed

For the total magnetic moment, the calculation gives 0.00 μB per formula unit. As for the space-group type: I4/mmm (139).

Cell and atoms, written as extended XYZ:
```
9
Lattice="-4.3609 4.3609 2.1259 4.3609 -4.3609 2.1259 4.3609 4.3609 -2.1259" Properties=species:S:1:pos:R:3 pbc="T T T"
Hg 0.0000 0.0000 0.0000
Hg 1.4989 -1.4989 2.1259
Hg -1.4989 1.4989 2.1259
Rh 0.0000 5.6838 0.0000
Rh 3.0381 0.0000 0.0000
Hg 1.4989 1.4989 2.1259
Rh 5.6838 0.0000 0.0000
Hg 2.8620 2.8620 0.0000
Rh 0.0000 3.0381 0.0000
```

=====

Record 24
Hg2Rh | GGA-PBE | relaxed

For the total magnetic moment, the calculation gives 0.00 μB per formula unit. As for the space-group type: I4_1/amd (141).

Cell and atoms, written as extended XYZ:
```
6
Lattice="-1.5469 1.5469 12.5109 1.5469 -1.5469 12.5109 1.5469 1.5469 -12.5109" Properties=species:S:1:pos:R:3 pbc="T T T"
Hg 0.0000 0.0000 10.6924
Hg 0.0000 0.0000 14.3294
Hg 1.5469 0.0000 4.4369
Rh 0.0000 1.5469 6.2554
Rh 0.0000 0.0000 0.0000
Hg 1.5469 0.0000 8.0739
```

=====

Number 1: E_form 0.202 eV per atom, V 312 Å³/cell. Number 2: E_form 0.401 eV per atom, V 97 Å³/cell. Number 3: E_form 0.206 eV per atom, V 122 Å³/cell. Number 4: E_form 0.261 eV per atom, V 133 Å³/cell. Number 5: E_form 0.234 eV per atom, V 80 Å³/cell. Number 6: E_form 0.660 eV per atom, V 121 Å³/cell. Number 7: E_form 0.211 eV per atom, V 78 Å³/cell. Number 8: E_form 0.192 eV per atom, V 92 Å³/cell. Number 9: E_form 0.170 eV per atom, V 92 Å³/cell. Number 10: E_form 0.207 eV per atom, V 79 Å³/cell. Number 11: E_form 0.291 eV per atom, V 169 Å³/cell. Number 12: E_form 0.238 eV per atom, V 327 Å³/cell. Number 13: E_form 0.140 eV per atom, V 149 Å³/cell. Number 14: E_form 0.152 eV per atom, V 138 Å³/cell. Number 15: E_form 0.259 eV per atom, V 94 Å³/cell. Number 16: E_form 0.222 eV per atom, V 314 Å³/cell. Number 17: E_form 0.084 eV per atom, V 90 Å³/cell. Number 18: E_form 0.308 eV per atom, V 313 Å³/cell. Number 19: E_form 0.097 eV per atom, V 349 Å³/cell. Number 20: E_form 0.223 eV per atom, V 80 Å³/cell. Number 21: E_form 0.170 eV per atom, V 84 Å³/cell. Number 22: E_form 0.212 eV per atom, V 176 Å³/cell. Number 23: E_form 0.215 eV per atom, V 162 Å³/cell. Number 24: E_form 0.168 eV per atom, V 120 Å³/cell.